1.
Computed, not measured: Sr2YTlCu2O7 after structural relaxation at the PBE level of DFT.

abc: 3.8265 12.1773 3.8469
angles: 90.00 90.00 90.00
Space group Pmm2 (No. 25)
Asymmetric unit:
Sr1 0.0000 0.2072 0.0000 [2 per cell]
Y1 0.0000 0.5000 0.9970 [1 per cell]
Tl1 0.5000 0.0000 0.5546 [1 per cell]
Cu1 0.5000 0.3616 0.4969 [2 per cell]
O1 0.0000 0.0000 0.9273 [1 per cell]
O2 0.0000 0.3807 0.4977 [2 per cell]
O3 0.5000 0.1740 0.4801 [2 per cell]
O4 0.5000 0.3796 0.9968 [2 per cell]

Computed properties:
Formation energy without anion corrections, meV per atom: -1870

2.
Computed, not measured: Na2AuN2 after structural relaxation at the PBE level of DFT.

abc: 7.7585 7.7585 2.9639
angles: 90.00 90.00 90.00
Space group P4/mbm (No. 127)
Asymmetric unit:
Na1 0.2401 0.2599 0.0000 [4 per cell]
Au1 0.0000 0.0000 0.5000 [2 per cell]
N1 0.0531 0.4469 0.5000 [4 per cell]

Computed properties:
Formation energy without anion corrections, meV per atom: -58
Energy relative to the lowest polymorph listed for this composition, kJ per mole of atoms: 5.1

3.
Computed, not measured: PrHo5Tm4 after structural relaxation at the PBE level of DFT.

abc: 3.5356 9.3381 9.9462
angles: 74.51 89.95 79.09
Space group P-1 (No. 2)
Asymmetric unit:
Pr1 0.0000 0.0000 0.0000 [1 per cell]
Ho1 0.0000 0.0000 0.5000 [1 per cell]
Ho2 0.1993 0.6010 0.5992 [2 per cell]
Ho3 0.2006 0.5991 0.1009 [2 per cell]
Tm1 0.3984 0.2026 0.2020 [2 per cell]
Tm2 0.3993 0.2016 0.6971 [2 per cell]

Computed properties:
E_form, meV/atom: 24
Energy relative to the lowest polymorph listed for this composition, kJ per mole of atoms: 0.0

4.
Computed, not measured: TaAlRh2 after structural relaxation at the PBE level of DFT.

abc: 4.5349 4.5349 2.9505
angles: 90.00 90.00 90.00
Space group P4/mmm (No. 123)
Asymmetric unit:
Ta1 0.0000 0.0000 0.0000 [1 per cell]
Al1 0.5000 0.5000 0.0000 [1 per cell]
Rh1 0.0000 0.5000 0.5000 [2 per cell]

Computed properties:
E_form, meV/atom: -648

For the records above, the corresponding magnetization values read 0.00, 0.00, 0.00, 0.00 μB per formula unit.
For the records above, the corresponding DOS(E_F) values read 2.29, 6.16, 13.72, 3.22 states/eV per cell.